Computed, not measured: a relaxed EuHg2Cl crystal at the PBE level of DFT.

Cell lengths 3.9205, 3.9205, 31.1096 Å; angles 90.00, 90.00, 120.00 degrees
Space group R-3m (No. 166, hexagonal axes)
Unique sites:
Eu (0.0000, 0.0000, 0.0000) (multiplicity 3)
Hg (0.0000, 0.0000, 0.1007) (multiplicity 6)
Cl (0.0000, 0.0000, 0.5000) (multiplicity 3)

## Properties
* density of states at the Fermi level: 21.5 states/eV/cell
* formation energy (no corrections): -0.30 eV/atom

***

Computed, not measured: a relaxed HfBeFe2Sb crystal at the PBE level of DFT.

Cell lengths 4.6371, 4.6371, 5.4540 Å; angles 90.00, 90.00, 90.00 degrees
Space group P4/mmm (No. 123)
Unique sites:
Hf (0.0000, 0.0000, 0.0000) (multiplicity 1)
Be (0.5000, 0.5000, 0.5000) (multiplicity 1)
Fe (0.0000, 0.5000, 0.0000) (multiplicity 2)
Sb (0.0000, 0.0000, 0.5000) (multiplicity 1)

## Properties
* density of states at the Fermi level: 5.8 states/eV/cell
* formation energy (no corrections): 1.62 eV/atom

***

Computed, not measured: a relaxed Al3CoSi crystal at the PBE level of DFT.

Cell lengths 4.7065, 4.7065, 4.7065 Å; angles 90.00, 90.00, 90.00 degrees
Space group Pm-3m (No. 221)
Unique sites:
Al (0.0000, 0.0000, 0.5000) (multiplicity 3)
Co (0.5000, 0.5000, 0.5000) (multiplicity 1)
Si (0.0000, 0.0000, 0.0000) (multiplicity 1)

## Properties
* energy above the lowest structure with this stoichiometry: 770 meV per atom
* density of states at the Fermi level: 3.2 states/eV/cell
* formation energy (no corrections): 0.99 eV/atom

***

Computed, not measured: a relaxed ZrTc4Au crystal at the PBE level of DFT.

Cell lengths 7.3714, 7.3714, 7.3714 Å; angles 90.00, 90.00, 90.00 degrees
Space group F-43m (No. 216)
Unique sites:
Zr (0.0000, 0.0000, 0.0000) (multiplicity 4)
Tc (0.1235, 0.1235, 0.6235) (multiplicity 16)
Au (0.2500, 0.2500, 0.2500) (multiplicity 4)

## Properties
* density of states at the Fermi level: 20.2 states/eV/cell
* energy of formation: 0.008 eV per atom

***

Computed, not measured: a relaxed NdAl3Fe crystal at the PBE level of DFT.

Cell lengths 6.3300, 6.3300, 10.7134 Å; angles 90.00, 90.00, 120.00 degrees
Space group P6_3/mmc (No. 194)
Unique sites:
Nd (0.0000, 0.0000, 0.0000) (multiplicity 2)
Nd (0.3333, 0.6667, 0.2500) (multiplicity 2)
Al (0.0000, 0.5000, 0.0000) (multiplicity 6)
Al (0.1503, 0.3006, 0.7500) (multiplicity 6)
Fe (0.3333, 0.6667, 0.6258) (multiplicity 4)

## Properties
* energy above the lowest structure with this stoichiometry: 13 meV per atom
* density of states at the Fermi level: 7.0 states/eV/cell
* energy of formation: -0.367 eV per atom

***

Computed, not measured: a relaxed Pa3Zn2Pt3 crystal at the PBE level of DFT.

Cell lengths 4.0588, 4.3406, 17.8461 Å; angles 90.00, 90.00, 90.00 degrees
Space group Immm (No. 71)
Unique sites:
Pa (0.0000, 0.0000, 0.0000) (multiplicity 2)
Pa (0.0000, 0.5000, 0.1214) (multiplicity 4)
Zn (0.0000, 0.0000, 0.2489) (multiplicity 4)
Pt (0.0000, 0.0000, 0.5000) (multiplicity 2)
Pt (0.0000, 0.5000, 0.3515) (multiplicity 4)

## Properties
* density of states at the Fermi level: 18.3 states/eV/cell
* energy of formation: -0.588 eV per atom

***

Computed, not measured: a relaxed Ac3DyTe4 crystal at the PBE level of DFT.

Cell lengths 8.1979, 9.2057, 7.9328 Å; angles 90.00, 109.03, 90.00 degrees
Space group P2/c (No. 13)
Unique sites:
Ac (0.0000, 0.1228, 0.2500) (multiplicity 2)
Ac (0.0000, 0.3736, 0.7500) (multiplicity 2)
Ac (0.5000, 0.1266, 0.7500) (multiplicity 2)
Dy (0.5000, 0.3758, 0.2500) (multiplicity 2)
Te (0.2612, 0.1352, 0.0117) (multiplicity 4)
Te (0.2680, 0.3849, 0.4984) (multiplicity 4)

## Properties
* energy above the lowest structure with this stoichiometry: 0 meV per atom
* density of states at the Fermi level: 8.8 states/eV/cell
* formation energy (no corrections): -1.42 eV/atom

***

Computed, not measured: a relaxed Sm3ScGe2 crystal at the PBE level of DFT.

Cell lengths 4.2948, 4.4763, 16.1147 Å; angles 90.00, 90.00, 90.00 degrees
Space group Immm (No. 71)
Unique sites:
Sm (0.0000, 0.0000, 0.0000) (multiplicity 2)
Sm (0.0000, 0.5000, 0.3205) (multiplicity 4)
Sc (0.0000, 0.0000, 0.5000) (multiplicity 2)
Ge (0.0000, 0.5000, 0.1314) (multiplicity 4)

## Properties
* density of states at the Fermi level: 13.1 states/eV/cell
* energy of formation: -0.648 eV per atom

***

Computed, not measured: a relaxed AgH12I6 crystal at the PBE level of DFT.

Cell lengths 17.3618, 17.3618, 5.7471 Å; angles 90.00, 90.00, 120.00 degrees
Space group R-3 (No. 148, hexagonal axes)
Unique sites:
Ag (0.0000, 0.0000, 0.0000) (multiplicity 3)
H (0.0015, 0.1247, 0.8132) (multiplicity 18)
H (0.0293, 0.9204, 0.2451) (multiplicity 18)
I (0.0147, 0.4354, 0.6293) (multiplicity 18)

## Properties
* density of states at the Fermi level: 17.4 states/eV/cell

***

Computed, not measured: a relaxed MgMoPb2 crystal at the PBE level of DFT.

Cell lengths 3.1370, 4.9992, 5.8478 Å; angles 90.00, 92.77, 90.00 degrees
Space group P2/m (No. 10)
Unique sites:
Mg (0.0000, 0.0000, 0.0000) (multiplicity 1)
Mo (0.5000, 0.0000, 0.5000) (multiplicity 1)
Pb (0.2605, 0.5000, 0.7424) (multiplicity 2)

## Properties
* density of states at the Fermi level: 2.1 states/eV/cell
* energy of formation: 0.573 eV per atom

***

Computed, not measured: a relaxed ZnCdCu2 crystal at the PBE level of DFT.

Cell lengths 2.7751, 4.2375, 5.2379 Å; angles 90.00, 102.95, 90.00 degrees
Space group Pm (No. 6)
Unique sites:
Zn (0.0000, 0.0000, 0.0000) (multiplicity 1)
Cd (0.7116, 0.5000, 0.3418) (multiplicity 1)
Cu (0.3081, 0.0000, 0.5592) (multiplicity 1)
Cu (0.4067, 0.5000, 0.8226) (multiplicity 1)

## Properties
* density of states at the Fermi level: 0.7 states/eV/cell
* energy of formation: 0.035 eV per atom

***

Computed, not measured: a relaxed Na4SnPb15 crystal at the PBE level of DFT.

Cell lengths 4.9038, 4.9038, 25.0905 Å; angles 90.00, 90.00, 90.00 degrees
Space group P4/mmm (No. 123)
Unique sites:
Na (0.0000, 0.0000, 0.0985) (multiplicity 2)
Na (0.0000, 0.0000, 0.2967) (multiplicity 2)
Sn (0.0000, 0.0000, 0.5000) (multiplicity 1)
Pb (0.0000, 0.5000, 0.0000) (multiplicity 2)
Pb (0.0000, 0.5000, 0.1975) (multiplicity 4)
Pb (0.0000, 0.5000, 0.3970) (multiplicity 4)
Pb (0.5000, 0.5000, 0.0999) (multiplicity 2)
Pb (0.5000, 0.5000, 0.2981) (multiplicity 2)
Pb (0.5000, 0.5000, 0.5000) (multiplicity 1)

## Properties
* density of states at the Fermi level: 9.7 states/eV/cell
* energy of formation: -0.082 eV per atom

***

Computed, not measured: a relaxed TlCrTc2 crystal at the PBE level of DFT.

Cell lengths 2.8892, 3.9285, 5.7776 Å; angles 90.00, 98.73, 90.00 degrees
Space group P2/m (No. 10)
Unique sites:
Tl (0.0000, 0.0000, 0.0000) (multiplicity 1)
Cr (0.0000, 0.0000, 0.5000) (multiplicity 1)
Tc (0.3805, 0.5000, 0.7028) (multiplicity 2)

## Properties
* energy above the lowest structure with this stoichiometry: 104 meV per atom
* density of states at the Fermi level: 3.8 states/eV/cell
* energy of formation: 0.534 eV per atom

***

Computed, not measured: a relaxed Ba2Zn2TcO6 crystal at the PBE level of DFT.

Cell lengths 5.9796, 5.9796, 16.4813 Å; angles 90.00, 90.00, 120.00 degrees
Space group R-3m (No. 166, hexagonal axes)
Unique sites:
Ba (0.0000, 0.0000, 0.2161) (multiplicity 6)
Zn (0.0000, 0.0000, 0.4111) (multiplicity 6)
Tc (0.0000, 0.0000, 0.0000) (multiplicity 3)
O (0.0296, 0.5148, 0.7467) (multiplicity 18)

## Properties
* formation energy (no corrections): -1.77 eV/atom

***

Computed, not measured: a relaxed YSnN2 crystal at the PBE level of DFT.

Cell lengths 3.3800, 3.3800, 17.4396 Å; angles 90.00, 90.00, 120.00 degrees
Space group R3m (No. 160, hexagonal axes)
Unique sites:
Y (0.0000, 0.0000, 0.0000) (multiplicity 3)
Sn (0.0000, 0.0000, 0.1681) (multiplicity 3)
N (0.0000, 0.0000, 0.5733) (multiplicity 3)
N (0.0000, 0.0000, 0.7500) (multiplicity 3)

## Properties
* density of states at the Fermi level: 7.5 states/eV/cell
* formation energy (no corrections): -0.31 eV/atom

***

Computed, not measured: a relaxed Zn3Ag6F14 crystal at the PBE level of DFT.

Cell lengths 8.3552, 8.3552, 5.4712 Å; angles 90.00, 90.00, 120.00 degrees
Space group P3 (No. 143)
Unique sites:
Zn (0.0000, 0.0000, 0.0000) (multiplicity 1)
Zn (0.3333, 0.6667, 0.1544) (multiplicity 1)
Zn (0.6667, 0.3333, 0.4598) (multiplicity 1)
Ag (0.0966, 0.3104, 0.4675) (multiplicity 3)
Ag (0.4459, 0.4140, 0.9258) (multiplicity 3)
F (0.0000, 0.0000, 0.6435) (multiplicity 1)
F (0.1084, 0.5940, 0.3813) (multiplicity 3)
F (0.1784, 0.4421, 0.9287) (multiplicity 3)
F (0.2401, 0.1441, 0.1526) (multiplicity 3)
F (0.4349, 0.1833, 0.6372) (multiplicity 3)
F (0.6667, 0.3333, 0.1105) (multiplicity 1)

## Properties
* density of states at the Fermi level: 12.5 states/eV/cell
* formation energy (no corrections): -1.49 eV/atom

***

Computed, not measured: a relaxed KPaGa2O8 crystal at the PBE level of DFT.

Cell lengths 6.7710, 6.7710, 8.0560 Å; angles 90.00, 90.00, 90.00 degrees
Space group I-4m2 (No. 119)
Unique sites:
K (0.0000, 0.0000, 0.0000) (multiplicity 2)
Pa (0.0000, 0.5000, 0.2500) (multiplicity 2)
Ga (0.0000, 0.0000, 0.5000) (multiplicity 2)
Ga (0.0000, 0.5000, 0.7500) (multiplicity 2)
O (0.0000, 0.2028, 0.3350) (multiplicity 8)
O (0.0000, 0.3817, 0.9523) (multiplicity 8)

## Properties
* formation energy (no corrections): -1.59 eV/atom

***

Computed, not measured: a relaxed CaCe5Se8 crystal at the PBE level of DFT.

Cell lengths 8.9026, 8.9026, 8.9735 Å; angles 90.00, 90.00, 90.00 degrees
Space group I-4 (No. 82)
Unique sites:
Ca (0.0000, 0.0000, 0.0000) (multiplicity 2)
Ce (0.0000, 0.5000, 0.7500) (multiplicity 2)
Ce (0.1249, 0.7496, 0.3726) (multiplicity 8)
Se (0.0738, 0.6762, 0.0476) (multiplicity 8)
Se (0.0766, 0.8232, 0.6960) (multiplicity 8)

## Properties
* density of states at the Fermi level: 63.5 states/eV/cell
* formation energy (no corrections): -1.86 eV/atom

***

Computed, not measured: a relaxed Nd2SnO crystal at the PBE level of DFT.

Cell lengths 3.7029, 3.7029, 23.4944 Å; angles 90.00, 90.00, 120.00 degrees
Space group R-3m (No. 166, hexagonal axes)
Unique sites:
Nd (0.0000, 0.0000, 0.2250) (multiplicity 6)
Sn (0.0000, 0.0000, 0.0000) (multiplicity 3)
O (0.0000, 0.0000, 0.5000) (multiplicity 3)

## Properties
* energy above the lowest structure with this stoichiometry: 195 meV per atom
* density of states at the Fermi level: 6.0 states/eV/cell
* formation energy (no corrections): -1.63 eV/atom

***

Computed, not measured: a relaxed Mn5CrFe2 crystal at the PBE level of DFT.

Cell lengths 5.4833, 5.4833, 6.1317 Å; angles 90.00, 90.00, 90.00 degrees
Space group I4mm (No. 107)
Unique sites:
Mn (0.0000, 0.0000, 0.0000) (multiplicity 2)
Mn (0.2494, 0.2494, 0.7483) (multiplicity 8)
Cr (0.0000, 0.0000, 0.4974) (multiplicity 2)
Fe (0.0000, 0.5000, 0.4982) (multiplicity 4)

## Properties
* density of states at the Fermi level: 15.7 states/eV/cell
* energy of formation: 0.059 eV per atom

***

For reference, DFT total energy by record: -41.8 -26.6 -18.8 -213.0 -105.2 -107.7 -81.7 -67.2 -151.6 -17.5 -10.2 -66.5 -30.6 -198.0 -85.1 -81.4 -150.7 -171.1 -75.0 -143.9 eV/cell.
For reference, spin magnetization by record: 23.3 4.5 1.8 0.0 0.0 0.0 0.0 0.0 0.0 0.0 0.0 0.0 0.3 9.0 0.0 1.9 0.0 12.1 0.0 14.9 μB/cell.